Entry 1:
VASP calculation (PBE) on a relaxed structure of Pa4Co3Rh.

The structure in POSCAR format:
```
Pa4Co3Rh
1.0
3.659 0.000 0.000
0.000 3.956 0.000
0.000 0.000 10.696
Pa Co Rh
4 3 1
Cartesian
0.000 0.000 0.000
0.000 1.978 2.836
1.830 0.000 5.141
1.830 1.978 8.220
0.000 1.978 5.580
1.830 0.000 2.352
1.830 1.978 0.336
0.000 0.000 7.679
```

Summary:
Total moment: 0.00 Bohr magnetons per cell
Formation energy from the elements: -436 meV/atom
Raw total energy: -8.77 eV/atom

Entry 2:
VASP calculation (PBE) on a relaxed structure of PaCoRh.

The structure in POSCAR format:
```
PaCoRh
1.0
4.528 0.000 0.000
-2.264 3.921 0.000
0.000 0.000 5.598
Pa Co Rh
2 2 2
Cartesian
0.000 2.614 1.400
2.264 1.307 4.199
0.000 2.614 4.199
2.264 1.307 1.400
0.000 0.000 0.000
0.000 0.000 2.799
```

Summary:
Total moment: 0.00 Bohr magnetons per cell
Energy above the lowest structure with this stoichiometry: 0 meV per atom
Formation energy from the elements: -597 meV/atom
Raw total energy: -8.58 eV/atom

| no. | V (A^3/atom) |
| --- | --- |
| 1 | 19.4 |
| 2 | 16.6 |